No. 1
First-principles (GGA-PBE) data for crystalline LiYTa2Bi at its relaxed geometry, as listed in Alexandria.

The structure in POSCAR format:
```
LiYTa2Bi
1.0
5.288 0.000 0.000
0.000 5.288 0.000
0.000 0.000 4.743
Li Y Ta Bi
1 1 2 1
direct
0.000 0.000 0.000
0.500 0.500 0.000
0.000 0.500 0.500
0.500 0.000 0.500
0.000 0.000 0.500
```

Results
* SG: No. 123
* formation energy: 1132 meV/atom

***

No. 2
First-principles (GGA-PBE) data for crystalline LiTaZn2Bi at its relaxed geometry, as listed in Alexandria.

The structure in POSCAR format:
```
LiTaZn2Bi
1.0
5.374 0.000 0.000
0.000 5.374 0.000
0.000 0.000 5.435
Li Ta Zn Bi
1 1 2 1
direct
0.000 0.000 0.000
0.500 0.500 0.000
0.000 0.500 0.500
0.500 0.000 0.500
0.500 0.500 0.500
```

Results
* SG: No. 123
* formation energy: 1287 meV/atom

***

No. 3
First-principles (GGA-PBE) data for crystalline LiTb5Bi4 at its relaxed geometry, as listed in Alexandria.

The structure in POSCAR format:
```
LiTb5Bi4
1.0
-4.941 4.941 3.185
4.941 -4.941 3.185
4.941 4.941 -3.185
Li Tb Bi
1 5 4
direct
0.000 0.000 0.000
0.112 0.705 0.209
0.484 0.484 0.000
0.496 0.903 0.791
0.705 0.496 0.593
0.903 0.112 0.407
0.017 0.405 0.812
0.206 0.017 0.613
0.405 0.593 0.387
0.593 0.206 0.188
```

Results
* SG: No. 79
* formation energy: -602 meV/atom

***

No. 4
First-principles (GGA-PBE) data for crystalline Li3TbBi2 at its relaxed geometry, as listed in Alexandria.

The structure in POSCAR format:
```
Li3TbBi2
1.0
8.925 -2.204 0.000
8.925 2.204 0.000
-2.151 0.000 10.763
Li Tb Bi
9 3 6
direct
0.000 0.000 0.000
0.120 0.120 0.730
0.183 0.183 0.488
0.292 0.292 0.094
0.453 0.453 0.158
0.547 0.547 0.842
0.708 0.708 0.906
0.817 0.817 0.512
0.880 0.880 0.270
0.330 0.330 0.778
0.500 0.500 0.500
0.670 0.670 0.222
0.046 0.046 0.308
0.143 0.143 0.999
0.307 0.307 0.354
0.693 0.693 0.646
0.857 0.857 0.001
0.954 0.954 0.692
```

Results
* SG: No. 12
* formation energy: -568 meV/atom